# 1
# Th4BBr5 | Alexandria | GGA-PBE | optimized geometry
# - volume (Å³/cell) = 588
# - ΔE_f (raw) (meV/atom) = -1174.1
# - total magnetization (Bohr magnetons per cell) = 0.00
data_Th4BBr5
_chemical_formula_sum 'Th8 B2 Br10'
_cell_length_a 17.4892
_cell_length_b 3.8560
_cell_length_c 8.8200
_cell_angle_alpha 90.00
_cell_angle_beta 98.61
_cell_angle_gamma 90.00
_space_group_name_H-M_alt 'C 1 2/m 1'
_space_group_IT_number 12
_space_group_name_Hall '-C 2y'
loop_
_atom_site_label
_atom_site_fract_x
_atom_site_fract_y
_atom_site_fract_z
Th1 0.0015 0.0000 0.2044
Th2 0.1567 0.5000 0.0565
B1 0.0000 0.5000 0.0000
Br1 0.0000 0.5000 0.5000
Br2 0.1678 0.0000 0.7883
Br3 0.1696 0.0000 0.3288

# 2
# TiB3Br | Alexandria | GGA-PBE | optimized geometry
# - volume (Å³/cell) = 87
# - ΔE_f (raw) (meV/atom) = 1890.6
# - E above lowest polymorph (meV/atom) = 0.0
# - total magnetization (Bohr magnetons per cell) = 0.00
data_TiB3Br
_chemical_formula_sum 'Ti1 B3 Br1'
_cell_length_a 4.4387
_cell_length_b 4.4387
_cell_length_c 4.4387
_cell_angle_alpha 90.00
_cell_angle_beta 90.00
_cell_angle_gamma 90.00
_space_group_name_H-M_alt 'P m -3 m'
_space_group_IT_number 221
_space_group_name_Hall '-P 4 2 3'
loop_
_atom_site_label
_atom_site_fract_x
_atom_site_fract_y
_atom_site_fract_z
Ti1 0.0000 0.0000 0.0000
B1 0.0000 0.0000 0.5000
Br1 0.5000 0.5000 0.5000

> The lowest volume belongs to which entry?

TiB3Br

Copy entry 2 word for word.
# TiB3Br | Alexandria | GGA-PBE | optimized geometry
# - volume (Å³/cell) = 87
# - ΔE_f (raw) (meV/atom) = 1890.6
# - E above lowest polymorph (meV/atom) = 0.0
# - total magnetization (Bohr magnetons per cell) = 0.00
data_TiB3Br
_chemical_formula_sum 'Ti1 B3 Br1'
_cell_length_a 4.4387
_cell_length_b 4.4387
_cell_length_c 4.4387
_cell_angle_alpha 90.00
_cell_angle_beta 90.00
_cell_angle_gamma 90.00
_space_group_name_H-M_alt 'P m -3 m'
_space_group_IT_number 221
_space_group_name_Hall '-P 4 2 3'
loop_
_atom_site_label
_atom_site_fract_x
_atom_site_fract_y
_atom_site_fract_z
Ti1 0.0000 0.0000 0.0000
B1 0.0000 0.0000 0.5000
Br1 0.5000 0.5000 0.5000

> Which of these has the lowest ΔE_f (raw)?

Th4BBr5